Record 1
VASP calculation (GGA-PBE) on a geometry-optimized CaSiCl2 structure. Values from VASP.

Summary:
Crystal system   monoclinic
Mass density   2.56 Mg/m³
Space-group type   P2/m
Energy relative to the lowest polymorph listed for this composition   106.0 meV per atom

Cell and atoms, written as Quantum ESPRESSO input:
```
&SYSTEM
  ibrav = 0, nat = 4, ntyp = 3
/
ATOMIC_SPECIES
Ca 40.08 Ca.upf
Si 28.09 Si.upf
Cl 35.45 Cl.upf
ATOMIC_POSITIONS crystal
Ca 0.000 0.000 0.000
Si 0.000 0.500 0.500
Cl 0.500 0.000 0.500
Cl 0.500 0.500 0.000
CELL_PARAMETERS angstrom
4.308 0.000 0.000
0.000 3.535 0.000
-0.011 0.000 5.932
```



Record 2
VASP calculation (GGA-PBE) on a geometry-optimized Ca4SiCl structure. Values from VASP.

Summary:
Crystal system   cubic
Mass density   1.87 Mg/m³
Space-group type   F-43m

Cell and atoms, written as Quantum ESPRESSO input:
```
&SYSTEM
  ibrav = 0, nat = 6, ntyp = 3
/
ATOMIC_SPECIES
Ca 40.08 Ca.upf
Si 28.09 Si.upf
Cl 35.45 Cl.upf
ATOMIC_POSITIONS crystal
Ca 0.377 0.377 0.377
Ca 0.377 0.377 0.870
Ca 0.377 0.870 0.377
Ca 0.870 0.377 0.377
Si 0.750 0.750 0.750
Cl 0.000 0.000 0.000
CELL_PARAMETERS angstrom
0.000 4.633 4.633
4.633 0.000 4.633
4.633 4.633 0.000
```



Record 3
VASP calculation (GGA-PBE) on a geometry-optimized CaSiCl2 structure. Values from VASP.

Summary:
Crystal system   monoclinic
Mass density   2.28 Mg/m³
Space-group type   Pm
Energy relative to the lowest polymorph listed for this composition   76.0 meV per atom

Cell and atoms, written as Quantum ESPRESSO input:
```
&SYSTEM
  ibrav = 0, nat = 4, ntyp = 3
/
ATOMIC_SPECIES
Ca 40.08 Ca.upf
Si 28.09 Si.upf
Cl 35.45 Cl.upf
ATOMIC_POSITIONS crystal
Ca 0.000 0.000 0.000
Si 0.559 0.500 0.116
Cl 0.289 0.000 0.576
Cl 0.897 0.500 0.792
CELL_PARAMETERS angstrom
3.765 0.000 0.000
0.000 5.515 0.000
-1.874 0.000 4.878
```



Record 4
VASP calculation (GGA-PBE) on a geometry-optimized CaSiCl2 structure. Values from VASP.

Summary:
Crystal system   monoclinic
Mass density   2.51 Mg/m³
Space-group type   Cm
Energy relative to the lowest polymorph listed for this composition   137.6 meV per atom

Cell and atoms, written as Quantum ESPRESSO input:
```
&SYSTEM
  ibrav = 0, nat = 4, ntyp = 3
/
ATOMIC_SPECIES
Ca 40.08 Ca.upf
Si 28.09 Si.upf
Cl 35.45 Cl.upf
ATOMIC_POSITIONS crystal
Ca 0.000 0.000 0.000
Si 0.762 0.762 0.260
Cl 0.313 0.313 0.811
Cl 0.542 0.542 0.542
CELL_PARAMETERS angstrom
6.365 -1.763 0.000
6.365 1.763 0.000
-1.497 0.000 4.105
```



Record 5
VASP calculation (GGA-PBE) on a geometry-optimized CaSi2Cl structure. Values from VASP.

Summary:
Crystal system   monoclinic
Mass density   2.35 Mg/m³
Space-group type   P2/m
Energy relative to the lowest polymorph listed for this composition   310.6 meV per atom

Cell and atoms, written as Quantum ESPRESSO input:
```
&SYSTEM
  ibrav = 0, nat = 4, ntyp = 3
/
ATOMIC_SPECIES
Ca 40.08 Ca.upf
Si 28.09 Si.upf
Cl 35.45 Cl.upf
ATOMIC_POSITIONS crystal
Ca 0.000 0.000 0.000
Si 0.272 0.500 0.178
Si 0.728 0.500 0.822
Cl 0.500 0.000 0.500
CELL_PARAMETERS angstrom
3.766 0.000 0.000
0.000 6.171 0.000
-0.406 0.000 4.000
```



Record 6
VASP calculation (GGA-PBE) on a geometry-optimized CaSiCl structure. Values from VASP.

Summary:
Crystal system   tetragonal
Mass density   1.99 Mg/m³
Space-group type   I4mm

Cell and atoms, written as Quantum ESPRESSO input:
```
&SYSTEM
  ibrav = 0, nat = 3, ntyp = 3
/
ATOMIC_SPECIES
Ca 40.08 Ca.upf
Si 28.09 Si.upf
Cl 35.45 Cl.upf
ATOMIC_POSITIONS crystal
Ca 0.000 0.000 0.000
Si 0.639 0.639 0.000
Cl 0.405 0.405 0.000
CELL_PARAMETERS angstrom
-1.650 1.650 7.916
1.650 -1.650 7.916
1.650 1.650 -7.916
```



Record 7
VASP calculation (GGA-PBE) on a geometry-optimized CaSi2Cl structure. Values from VASP.

Summary:
Crystal system   cubic
Mass density   2.44 Mg/m³
Space-group type   Fm-3m
Energy relative to the lowest polymorph listed for this composition   1240.8 meV per atom

Cell and atoms, written as Quantum ESPRESSO input:
```
&SYSTEM
  ibrav = 0, nat = 4, ntyp = 3
/
ATOMIC_SPECIES
Ca 40.08 Ca.upf
Si 28.09 Si.upf
Cl 35.45 Cl.upf
ATOMIC_POSITIONS crystal
Ca 0.000 0.000 0.000
Si 0.250 0.250 0.250
Si 0.750 0.750 0.750
Cl 0.500 0.500 0.500
CELL_PARAMETERS angstrom
0.000 3.554 3.554
3.554 0.000 3.554
3.554 3.554 0.000
```



Record 8
VASP calculation (GGA-PBE) on a geometry-optimized CaSiCl2 structure. Values from VASP.

Summary:
Crystal system   monoclinic
Mass density   2.34 Mg/m³
Space-group type   C2/m
Energy relative to the lowest polymorph listed for this composition   42.1 meV per atom

Cell and atoms, written as Quantum ESPRESSO input:
```
&SYSTEM
  ibrav = 0, nat = 4, ntyp = 3
/
ATOMIC_SPECIES
Ca 40.08 Ca.upf
Si 28.09 Si.upf
Cl 35.45 Cl.upf
ATOMIC_POSITIONS crystal
Ca 0.000 0.000 0.000
Si 0.500 0.500 0.500
Cl 0.314 0.314 0.773
Cl 0.686 0.686 0.227
CELL_PARAMETERS angstrom
4.916 -1.836 0.000
4.916 1.836 0.000
-0.843 0.000 5.464
```



Record 9
VASP calculation (GGA-PBE) on a geometry-optimized CaSiCl structure. Values from VASP.

Summary:
Crystal system   trigonal
Mass density   2.20 Mg/m³
Space-group type   R-3m

Cell and atoms, written as Quantum ESPRESSO input:
```
&SYSTEM
  ibrav = 0, nat = 6, ntyp = 3
/
ATOMIC_SPECIES
Ca 40.08 Ca.upf
Si 28.09 Si.upf
Cl 35.45 Cl.upf
ATOMIC_POSITIONS crystal
Ca 0.072 0.072 0.072
Ca 0.928 0.928 0.928
Si 0.346 0.346 0.346
Si 0.654 0.654 0.654
Cl 0.219 0.219 0.219
Cl 0.781 0.781 0.781
CELL_PARAMETERS angstrom
1.976 1.141 11.548
-1.976 1.141 11.548
0.000 -2.281 11.548
```



Record 10
VASP calculation (GGA-PBE) on a geometry-optimized CaSiCl2 structure. Values from VASP.

Summary:
Crystal system   cubic
Mass density   2.41 Mg/m³
Space-group type   F-43m
Energy relative to the lowest polymorph listed for this composition   596.2 meV per atom

Cell and atoms, written as Quantum ESPRESSO input:
```
&SYSTEM
  ibrav = 0, nat = 4, ntyp = 3
/
ATOMIC_SPECIES
Ca 40.08 Ca.upf
Si 28.09 Si.upf
Cl 35.45 Cl.upf
ATOMIC_POSITIONS crystal
Ca 0.000 0.000 0.000
Si 0.750 0.750 0.750
Cl 0.250 0.250 0.250
Cl 0.500 0.500 0.500
CELL_PARAMETERS angstrom
0.000 3.630 3.630
3.630 0.000 3.630
3.630 3.630 0.000
```



Record 11
VASP calculation (GGA-PBE) on a geometry-optimized CaSiCl structure. Values from VASP.

Summary:
Crystal system   hexagonal
Mass density   2.31 Mg/m³
Space-group type   P-6m2

Cell and atoms, written as Quantum ESPRESSO input:
```
&SYSTEM
  ibrav = 0, nat = 3, ntyp = 3
/
ATOMIC_SPECIES
Ca 40.08 Ca.upf
Si 28.09 Si.upf
Cl 35.45 Cl.upf
ATOMIC_POSITIONS crystal
Ca 0.000 0.000 0.000
Si 0.333 0.667 0.500
Cl 0.667 0.333 0.000
CELL_PARAMETERS angstrom
4.747 0.000 0.000
-2.374 4.111 0.000
0.000 0.000 3.820
```



Record 12
VASP calculation (GGA-PBE) on a geometry-optimized CaSiCl2 structure. Values from VASP.

Summary:
Crystal system   orthorhombic
Mass density   2.27 Mg/m³
Space-group type   Fmmm
Energy relative to the lowest polymorph listed for this composition   110.0 meV per atom

Cell and atoms, written as Quantum ESPRESSO input:
```
&SYSTEM
  ibrav = 0, nat = 4, ntyp = 3
/
ATOMIC_SPECIES
Ca 40.08 Ca.upf
Si 28.09 Si.upf
Cl 35.45 Cl.upf
ATOMIC_POSITIONS crystal
Ca 0.000 0.000 0.000
Si 0.500 0.500 0.500
Cl 0.000 0.500 0.500
Cl 0.500 0.000 0.000
CELL_PARAMETERS angstrom
0.000 3.904 3.926
3.317 0.000 3.926
3.317 3.904 0.000
```



Number 1: electronic total energy -3.617 eV/atom. Number 2: electronic total energy -2.350 eV/atom. Number 3: electronic total energy -3.647 eV/atom. Number 4: electronic total energy -3.585 eV/atom. Number 5: electronic total energy -4.179 eV/atom. Number 6: electronic total energy -3.691 eV/atom. Number 7: electronic total energy -3.249 eV/atom. Number 8: electronic total energy -3.681 eV/atom. Number 9: electronic total energy -4.430 eV/atom. Number 10: electronic total energy -3.127 eV/atom. Number 11: electronic total energy -3.399 eV/atom. Number 12: electronic total energy -3.613 eV/atom.